Entry 1:
The following is a DFT calculation (SCAN) of a PBEsol-optimized structure of Si2BiPb.

The space group is I-42d (No. 122) and the conventional cell measures 6.2727, 6.2727 and 12.7581 Å, with angles of 90.00, 90.00 and 90.00 degrees. The distinct sites, in fractional coordinates, are Si at (0.2413, 0.2500, 0.1250), Bi at (0.0000, 0.0000, 0.5000) and Pb at (0.0000, 0.0000, 0.0000).

For the energy above the most stable polymorph in this dataset, the calculation gives 0.000 eV/atom. Its uncorrected formation energy is 585.4 meV/atom. For the density of states at the Fermi level, the calculation gives 0.514 states/eV/atom. The value obtained for the uncorrected energy is -688.203 eV for the cell shown.

***

Entry 2:
The following is a DFT calculation (SCAN) of a PBEsol-optimized structure of Si2BiPb.

The space group is Fm-3m (No. 225) and the conventional cell measures 7.1463, 7.1463 and 7.1463 Å, with angles of 90.00, 90.00 and 90.00 degrees. The distinct sites, in fractional coordinates, are Si at (0.2500, 0.2500, 0.2500), Bi at (0.0000, 0.0000, 0.0000) and Pb at (0.0000, 0.0000, 0.5000).

For the energy above the most stable polymorph in this dataset, the calculation gives 0.159 eV/atom. Its uncorrected formation energy is 744.8 meV/atom. For the density of states at the Fermi level, the calculation gives 0.387 states/eV/atom. The value obtained for the uncorrected energy is -685.653 eV for the cell shown.